DFT (GGA-PBE) results for a relaxed Nd6Co2RhBr3 crystal.

Values from the calculation:
As for the total energy: -130.6 eV/cell. The magnetization is 0.00 μB/cell. The calculation puts the formation energy (no corrections) at -840.6 meV/atom.

Lattice parameters (Å, degrees): 19.5115 4.0336 9.1151 90.00 112.40 90.00
Closest atoms and distances in Å follow each position.
Space group C2/m (No. 12)
Unique sites:
Nd1 0.0160 0.0000 0.2269 (multiplicity 4)  1 Co 2.75, 2 Rh 2.82
Nd2 0.1579 0.5000 0.1231 (multiplicity 4)  2 Co 2.76, 1 Rh 2.85
Nd3 0.1795 0.5000 0.5520 (multiplicity 4)  3 Co 2.75-2.76
Co1 0.1681 0.0000 0.3371 (multiplicity 4)  6 Nd 2.75-2.76
Rh1 0.0000 0.5000 0.0000 (multiplicity 2)  6 Nd 2.82-2.85
Br1 0.0000 0.5000 0.5000 (multiplicity 2)  6 Nd 3.31-3.35
Br2 0.1665 0.0000 0.8333 (multiplicity 4)  6 Nd 3.30-3.39

DFT (GGA-PBE) results for a relaxed Nd4CoRhBr2 crystal.

Values from the calculation:
As for the total energy: -44.1 eV/cell. The magnetization is 0.00 μB/cell. The calculation puts the formation energy (no corrections) at -898.6 meV/atom.

Lattice parameters (Å, degrees): 7.0483 4.0508 8.1643 90.00 106.53 90.00
Closest atoms and distances in Å follow each position.
Space group P2/m (No. 10)
Unique sites:
Nd1 0.2215 0.0000 0.1924 (multiplicity 2)  2 Co 2.76, 1 Rh 2.84
Nd2 0.2607 0.5000 0.8037 (multiplicity 2)  1 Co 2.76, 2 Rh 2.82
Co1 0.0000 0.5000 0.0000 (multiplicity 1)  6 Nd 2.76
Rh1 0.5000 0.0000 0.0000 (multiplicity 1)  6 Nd 2.82-2.84
Br1 0.0000 0.0000 0.5000 (multiplicity 1)  6 Nd 3.31-3.32
Br2 0.5000 0.5000 0.5000 (multiplicity 1)  6 Nd 3.37-3.39